Below is a relaxed SrTa2Cu crystal, with properties calculated at the PBE level.

```
SrTa2Cu
1.0
6.015 0.003 0.008
2.588 5.429 -0.008
-3.362 -4.204 2.683
Cu Sr Ta
1 1 2
Cartesian
4.049 2.557 0.000 Cu
3.356 -0.819 1.345 Sr
1.822 2.007 1.338 Ta
0.315 0.199 0.000 Ta
```

Output
Polymorph energy (0 for the lowest one)   437 meV/atom
Crystal system   orthorhombic
VASP energy   -6.502 eV/atom
V   21.87 Å³ per atom
ΔE_f   0.87 eV per atom
Fermi-level density of states   4.2 states/eV/cell

---

Below is a relaxed SrTaCu crystal, with properties calculated at the PBE level.

```
SrTaCu
1.0
6.589 -0.031 0.021
0.793 3.107 -0.004
4.680 0.472 6.749
Ta Cu Sr
2 2 2
Cartesian
3.087 2.805 2.456 Ta
2.619 1.269 0.257 Ta
9.185 2.907 5.523 Cu
7.787 1.607 3.958 Cu
5.750 0.468 1.369 Sr
4.796 0.719 4.734 Sr
```

Output
Polymorph energy (0 for the lowest one)   236 meV/atom
Crystal system   triclinic
VASP energy   -5.384 eV/atom
V   23.01 Å³ per atom
ΔE_f   0.49 eV per atom
Fermi-level density of states   6.7 states/eV/cell

---

Below is a relaxed SrTaCu crystal, with properties calculated at the PBE level.

```
SrTaCu
1.0
-3.633 -3.837 -2.846
-0.398 -2.111 5.607
-2.281 2.815 2.736
Sr Cu Ta
2 2 2
Cartesian
-1.770 -1.933 3.008 Sr
-4.540 -4.759 3.607 Sr
-4.697 -2.486 1.140 Cu
-4.846 -1.277 3.535 Cu
-3.352 -0.476 0.191 Ta
-3.473 0.729 2.616 Ta
```

Output
Polymorph energy (0 for the lowest one)   278 meV/atom
Crystal system   orthorhombic
VASP energy   -5.343 eV/atom
V   23.35 Å³ per atom
ΔE_f   0.53 eV per atom
Fermi-level density of states   3.9 states/eV/cell

---

Below is a relaxed SrTa2Cu crystal, with properties calculated at the PBE level.

```
SrTa2Cu
1.0
-5.066 -1.990 0.177
1.143 -2.872 0.426
0.090 0.216 5.012
Ta Sr Cu
2 1 1
Cartesian
0.514 -1.079 2.585 Ta
0.102 -0.248 0.134 Ta
-1.608 -2.987 4.167 Sr
-2.225 -1.659 1.448 Cu
```

Output
Polymorph energy (0 for the lowest one)   337 meV/atom
Crystal system   monoclinic
VASP energy   -6.602 eV/atom
V   21.20 Å³ per atom
ΔE_f   0.77 eV per atom
Fermi-level density of states   3.7 states/eV/cell

---

Below is a relaxed SrTaCu crystal, with properties calculated at the PBE level.

```
SrTaCu
1.0
5.870 -0.013 -0.025
-2.460 5.331 0.024
-2.280 1.463 4.442
Sr Ta Cu
2 2 2
Cartesian
-0.585 3.158 0.364 Sr
2.573 4.885 1.421 Sr
2.202 1.370 0.404 Ta
1.453 1.851 2.908 Ta
-1.800 2.065 3.018 Cu
-0.099 4.719 3.019 Cu
```

Output
Polymorph energy (0 for the lowest one)   188 meV/atom
Crystal system   orthorhombic
VASP energy   -5.433 eV/atom
V   23.08 Å³ per atom
ΔE_f   0.44 eV per atom
Fermi-level density of states   6.4 states/eV/cell

---

Below is a relaxed SrTaCu crystal, with properties calculated at the PBE level.

```
SrTaCu
1.0
-3.044 -2.130 -5.704
2.446 -4.073 0.216
-6.512 -3.653 4.840
Ta Cu Sr
4 4 4
Cartesian
-1.390 -2.376 -2.885 Ta
-2.505 -2.790 1.926 Ta
-4.606 -7.067 -2.574 Ta
-5.721 -7.481 2.237 Ta
-1.235 -2.151 -0.390 Cu
-3.402 -6.107 1.887 Cu
-3.708 -3.749 -2.535 Cu
-5.875 -7.706 -0.258 Cu
-1.703 -5.219 -0.589 Sr
-5.121 -4.266 3.711 Sr
-5.407 -4.638 -0.059 Sr
-1.990 -5.591 -4.359 Sr
```

Output
Polymorph energy (0 for the lowest one)   201 meV/atom
Crystal system   orthorhombic
VASP energy   -5.420 eV/atom
V   24.01 Å³ per atom
ΔE_f   0.46 eV per atom
Fermi-level density of states   11.8 states/eV/cell

---

Below is a relaxed SrTaCu2 crystal, with properties calculated at the PBE level.

```
SrTaCu2
1.0
4.373 -0.005 -0.012
2.192 3.784 -0.012
2.206 1.270 5.541
Cu Ta Sr
2 1 1
Cartesian
4.382 2.523 1.747 Cu
6.569 3.781 0.986 Cu
2.193 1.262 1.379 Ta
6.578 3.787 4.137 Sr
```

Output
Polymorph energy (0 for the lowest one)   33 meV/atom
Crystal system   trigonal
VASP energy   -5.136 eV/atom
V   22.98 Å³ per atom
ΔE_f   0.30 eV per atom
Fermi-level density of states   2.4 states/eV/cell

---

Below is a relaxed SrTaCu crystal, with properties calculated at the PBE level.

```
SrTaCu
1.0
7.898 0.000 0.000
0.000 3.074 0.000
0.000 0.000 10.896
Sr Cu Ta
4 4 4
Cartesian
1.227 2.306 6.621 Sr
2.723 0.769 1.173 Sr
5.176 2.306 9.724 Sr
6.672 0.769 4.276 Sr
5.309 2.306 2.068 Cu
1.360 2.306 3.380 Cu
2.589 0.769 8.828 Cu
6.538 0.769 7.517 Cu
4.447 2.306 6.508 Ta
7.401 0.769 1.060 Ta
3.451 0.769 4.388 Ta
0.498 2.306 9.837 Ta
```

Output
Polymorph energy (0 for the lowest one)   282 meV/atom
Crystal system   orthorhombic
VASP energy   -5.338 eV/atom
V   22.05 Å³ per atom
ΔE_f   0.54 eV per atom
Fermi-level density of states   6.8 states/eV/cell

---

Below is a relaxed Sr2TaCu crystal, with properties calculated at the PBE level.

```
Sr2TaCu
1.0
-0.862 2.670 -5.099
2.074 -3.499 -4.163
-3.694 -1.096 4.362
Cu Sr Ta
1 2 1
Cartesian
-1.975 0.580 -2.684 Cu
0.000 0.000 0.000 Sr
0.606 -0.414 -4.631 Sr
-0.507 -2.505 -2.216 Ta
```

Output
Polymorph energy (0 for the lowest one)   510 meV/atom
Crystal system   tetragonal
VASP energy   -3.817 eV/atom
V   27.87 Å³ per atom
ΔE_f   1.01 eV per atom
Fermi-level density of states   4.7 states/eV/cell

---

Below is a relaxed SrTaCu crystal, with properties calculated at the PBE level.

```
SrTaCu
1.0
1.159 -4.481 -0.618
1.409 -2.570 3.635
-2.754 -3.377 1.679
Sr Ta Cu
1 1 1
Cartesian
-0.046 -2.607 1.174 Sr
-0.093 -5.215 2.348 Ta
-0.139 -7.822 3.522 Cu
```

Output
Polymorph energy (0 for the lowest one)   1273 meV/atom
Crystal system   cubic
VASP energy   -4.347 eV/atom
V   24.01 Å³ per atom
ΔE_f   1.53 eV per atom
Fermi-level density of states   0.5 states/eV/cell

---

Below is a relaxed SrTaCu crystal, with properties calculated at the PBE level.

```
SrTaCu
1.0
4.238 0.000 0.000
-2.119 3.670 0.000
0.000 0.000 4.963
Ta Sr Cu
1 1 1
Cartesian
0.000 2.447 4.135 Ta
2.119 1.223 1.654 Sr
0.000 0.000 4.136 Cu
```

Output
Polymorph energy (0 for the lowest one)   496 meV/atom
Crystal system   hexagonal
VASP energy   -5.124 eV/atom
V   25.73 Å³ per atom
ΔE_f   0.75 eV per atom
Fermi-level density of states   2.1 states/eV/cell

---

Below is a relaxed Sr2TaCu crystal, with properties calculated at the PBE level.

```
Sr2TaCu
1.0
10.449 0.008 0.005
9.869 3.434 0.005
9.869 1.672 2.999
Ta Sr Cu
1 2 1
Cartesian
7.547 1.278 0.752 Ta
14.941 2.531 1.489 Sr
0.153 0.026 0.015 Sr
22.641 3.835 2.256 Cu
```

Output
Polymorph energy (0 for the lowest one)   342 meV/atom
Crystal system   trigonal
VASP energy   -3.985 eV/atom
V   26.80 Å³ per atom
ΔE_f   0.84 eV per atom
Fermi-level density of states   2.1 states/eV/cell